The following is a GGA-PBE calculation of Pd2PtS2 after structural relaxation, from the Alexandria database.

As for the excess energy over the best structure of this formula in the dataset: 4.09 kcal/mol of atoms.

The space group is I4/mmm (No. 139) and the conventional cell measures 3.504, 3.504 and 13.256 Å, with angles of 90.00, 90.00 and 90.00 degrees. The inequivalent atoms are Pd at (0.000, 0.000, 0.104), Pt at (0.000, 0.000, 0.500) and S at (0.000, 0.500, 0.250).

---

The following is a GGA-PBE calculation of Tc2PdPtS after structural relaxation, from the Alexandria database.

The space group is P4/mmm (No. 123) and the conventional cell measures 5.087, 5.087 and 4.380 Å, with angles of 90.00, 90.00 and 90.00 degrees. The inequivalent atoms are Tc at (0.000, 0.500, 0.000), Pd at (0.000, 0.000, 0.500), Pt at (0.500, 0.500, 0.000) and S at (0.500, 0.500, 0.500).

---

The following is a GGA-PBE calculation of Th4PdPtS2 after structural relaxation, from the Alexandria database.

The space group is P2/m (No. 10) and the conventional cell measures 7.092, 4.122 and 7.376 Å, with angles of 90.00, 108.72 and 90.00 degrees. The inequivalent atoms are Th at (0.247, 0.000, 0.247), Th at (0.249, 0.500, 0.749), Pd at (0.500, 0.500, 0.500), Pt at (0.000, 0.000, 0.500), S at (0.000, 0.500, 0.000) and S at (0.500, 0.000, 0.000).

---

The following is a GGA-PBE calculation of TlPdPtS2 after structural relaxation, from the Alexandria database.

The space group is Cmme (No. 67) and the conventional cell measures 5.707, 10.765 and 7.479 Å, with angles of 90.00, 90.00 and 90.00 degrees. The inequivalent atoms are Tl at (0.000, 0.250, 0.204), Pd at (0.000, 0.000, 0.000), Pt at (0.250, 0.000, 0.500) and S at (0.000, 0.087, 0.719).

---

The following is a GGA-PBE calculation of TlPdPt2S after structural relaxation, from the Alexandria database.

The space group is P4/mmm (No. 123) and the conventional cell measures 5.106, 5.106 and 4.305 Å, with angles of 90.00, 90.00 and 90.00 degrees. The inequivalent atoms are Tl at (0.000, 0.000, 0.000), Pd at (0.500, 0.500, 0.500), Pt at (0.000, 0.500, 0.500) and S at (0.500, 0.500, 0.000).

---

The following is a GGA-PBE calculation of YPdPtS2 after structural relaxation, from the Alexandria database.

The space group is P4/mmm (No. 123) and the conventional cell measures 5.083, 5.083 and 5.099 Å, with angles of 90.00, 90.00 and 90.00 degrees. The inequivalent atoms are Y at (0.000, 0.000, 0.000), Pd at (0.000, 0.000, 0.500), Pt at (0.500, 0.500, 0.500) and S at (0.000, 0.500, 0.000).

---

The following is a GGA-PBE calculation of Sb2PdPt after structural relaxation, from the Alexandria database.

As for the excess energy over the best structure of this formula in the dataset: 3.39 kcal/mol of atoms.

The space group is I-42d (No. 122) and the conventional cell measures 6.588, 6.588 and 9.506 Å, with angles of 90.00, 90.00 and 90.00 degrees. The inequivalent atoms are Sb at (0.248, 0.250, 0.125), Pd at (0.000, 0.000, 0.500) and Pt at (0.000, 0.000, 0.000).

---

The following is a GGA-PBE calculation of Sb2Pd3Pt after structural relaxation, from the Alexandria database.

As for the excess energy over the best structure of this formula in the dataset: 0.00 kcal/mol of atoms.

The space group is Ibam (No. 72) and the conventional cell measures 5.811, 13.262 and 5.755 Å, with angles of 90.00, 90.00 and 90.00 degrees. The inequivalent atoms are Sb at (0.249, 0.141, 0.000), Pd at (0.000, 0.000, 0.250), Pd at (0.249, 0.159, 0.500) and Pt at (0.000, 0.500, 0.250).

---

The following is a GGA-PBE calculation of SbPdPt2 after structural relaxation, from the Alexandria database.

The space group is P4/mmm (No. 123) and the conventional cell measures 4.036, 4.036 and 4.152 Å, with angles of 90.00, 90.00 and 90.00 degrees. The inequivalent atoms are Sb at (0.000, 0.000, 0.000), Pd at (0.500, 0.500, 0.000) and Pt at (0.000, 0.500, 0.500).

---

The following is a GGA-PBE calculation of Sb6Pd3Pt after structural relaxation, from the Alexandria database.

The space group is P2_1/c (No. 14) and the conventional cell measures 7.297, 6.440 and 12.047 Å, with angles of 90.00, 127.19 and 90.00 degrees. The inequivalent atoms are Sb at (0.066, 0.027, 0.249), Sb at (0.260, 0.147, 0.591), Sb at (0.420, 0.648, 0.591), Pd at (0.293, 0.677, 0.255), Pd at (0.500, 0.000, 0.500) and Pt at (0.000, 0.000, 0.000).

---

The following is a GGA-PBE calculation of SbPd3Pt after structural relaxation, from the Alexandria database.

As for the excess energy over the best structure of this formula in the dataset: 24.98 kcal/mol of atoms.

The space group is Pm-3m (No. 221) and the conventional cell measures 4.847, 4.847 and 4.847 Å, with angles of 90.00, 90.00 and 90.00 degrees. The inequivalent atoms are Sb at (0.000, 0.000, 0.000), Pd at (0.000, 0.000, 0.500) and Pt at (0.500, 0.500, 0.500).

---

The following is a GGA-PBE calculation of SbPd8Pt2 after structural relaxation, from the Alexandria database.

As for the excess energy over the best structure of this formula in the dataset: 0.00 kcal/mol of atoms.

The space group is Immm (No. 71) and the conventional cell measures 4.671, 5.659 and 13.906 Å, with angles of 90.00, 90.00 and 90.00 degrees. The inequivalent atoms are Sb at (0.000, 0.000, 0.000), Pd at (0.000, 0.245, 0.500), Pd at (0.000, 0.255, 0.156), Pd at (0.000, 0.500, 0.327) and Pt at (0.000, 0.000, 0.329).

---

The following is a GGA-PBE calculation of Sb2Pd5Pt5 after structural relaxation, from the Alexandria database.

As for the excess energy over the best structure of this formula in the dataset: 0.81 kcal/mol of atoms.

The space group is P-1 (No. 2) and the conventional cell measures 4.941, 6.421 and 7.011 Å, with angles of 67.13, 88.54 and 74.77 degrees. The inequivalent atoms are Sb at (0.187, 0.493, 0.189), Pd at (0.000, 0.000, 0.000), Pd at (0.082, 0.244, 0.584), Pd at (0.237, 0.745, 0.758), Pt at (0.342, 0.997, 0.334), Pt at (0.411, 0.246, 0.916) and Pt at (0.500, 0.500, 0.500).

---

The following is a GGA-PBE calculation of SbPd2Pt2 after structural relaxation, from the Alexandria database.

As for the excess energy over the best structure of this formula in the dataset: 0.00 kcal/mol of atoms.

The space group is P2_1/c (No. 14) and the conventional cell measures 8.601, 7.676 and 5.470 Å, with angles of 90.00, 103.54 and 90.00 degrees. The inequivalent atoms are Sb at (0.205, 0.097, 0.409), Pd at (0.198, 0.704, 0.142), Pd at (0.490, 0.685, 0.990), Pt at (0.056, 0.091, 0.808) and Pt at (0.354, 0.005, 0.053).

---

The following is a GGA-PBE calculation of Sb4PdPt after structural relaxation, from the Alexandria database.

The space group is P2_1/c (No. 14) and the conventional cell measures 6.557, 6.557 and 6.556 Å, with angles of 90.00, 90.14 and 90.00 degrees. The inequivalent atoms are Sb at (0.126, 0.125, 0.126), Sb at (0.374, 0.627, 0.125), Pd at (0.500, 0.000, 0.000) and Pt at (0.000, 0.000, 0.500).

---

The following is a GGA-PBE calculation of SbPd5Pt2 after structural relaxation, from the Alexandria database.

As for the excess energy over the best structure of this formula in the dataset: 0.00 kcal/mol of atoms.

The space group is I4/mcm (No. 140) and the conventional cell measures 6.840, 6.840 and 11.466 Å, with angles of 90.00, 90.00 and 90.00 degrees. The inequivalent atoms are Sb at (0.000, 0.000, 0.250), Pd at (0.000, 0.000, 0.000), Pd at (0.152, 0.348, 0.163) and Pt at (0.140, 0.360, 0.500).

---

The following is a GGA-PBE calculation of SbPdPt14 after structural relaxation, from the Alexandria database.

The space group is Amm2 (No. 38) and the conventional cell measures 9.666, 5.525 and 9.663 Å, with angles of 90.00, 90.00 and 90.00 degrees. The inequivalent atoms are Sb at (0.000, 0.000, 0.000), Pd at (0.000, 0.000, 0.500), Pt at (0.000, 0.250, 0.250), Pt at (0.251, 0.000, 0.254), Pt at (0.251, 0.000, 0.748), Pt at (0.251, 0.248, 0.001), Pt at (0.500, 0.000, 0.000), Pt at (0.500, 0.000, 0.500) and Pt at (0.500, 0.250, 0.250).

---

The following is a GGA-PBE calculation of Sb2PdPt4 after structural relaxation, from the Alexandria database.

The space group is P4/mmm (No. 123) and the conventional cell measures 3.995, 3.995 and 7.958 Å, with angles of 90.00, 90.00 and 90.00 degrees. The inequivalent atoms are Sb at (0.000, 0.000, 0.000), Sb at (0.500, 0.500, 0.500), Pd at (0.000, 0.000, 0.500) and Pt at (0.000, 0.500, 0.232).

---

The following is a GGA-PBE calculation of SbPd3Pt4 after structural relaxation, from the Alexandria database.

As for the excess energy over the best structure of this formula in the dataset: 0.00 kcal/mol of atoms.

The space group is I4/mmm (No. 139) and the conventional cell measures 4.044, 4.044 and 15.769 Å, with angles of 90.00, 90.00 and 90.00 degrees. The inequivalent atoms are Sb at (0.000, 0.000, 0.000), Pd at (0.000, 0.000, 0.251), Pd at (0.000, 0.000, 0.500) and Pt at (0.000, 0.500, 0.126).

---

The following is a GGA-PBE calculation of SbPd7Pt3 after structural relaxation, from the Alexandria database.

The space group is P3m1 (No. 156) and the conventional cell measures 5.5772, 5.5772 and 6.8439 Å, with angles of 90.00, 90.00 and 120.00 degrees. The inequivalent atoms are Sb at (0.0000, 0.0000, 0.0000), Pd at (0.3333, 0.6667, 0.3305), Pd at (0.3372, 0.1686, 0.3330), Pd at (0.5013, 0.0026, 0.9910) and Pt at (0.1670, 0.3340, 0.6592).

---

The following is a GGA-PBE calculation of SbPd5Pt3 after structural relaxation, from the Alexandria database.

The space group is C2/m (No. 12) and the conventional cell measures 7.871, 7.602 and 11.314 Å, with angles of 90.00, 98.73 and 90.00 degrees. The inequivalent atoms are Sb at (0.072, 0.000, 0.273), Pd at (0.000, 0.327, 0.000), Pd at (0.058, 0.500, 0.305), Pd at (0.172, 0.230, 0.681), Pd at (0.199, 0.500, 0.868), Pt at (0.000, 0.000, 0.000), Pt at (0.000, 0.000, 0.500), Pt at (0.172, 0.500, 0.530) and Pt at (0.245, 0.000, 0.867).

---

The following is a GGA-PBE calculation of SbPd2Pt8 after structural relaxation, from the Alexandria database.

As for the excess energy over the best structure of this formula in the dataset: 1.09 kcal/mol of atoms.

The space group is Immm (No. 71) and the conventional cell measures 4.762, 5.503 and 14.251 Å, with angles of 90.00, 90.00 and 90.00 degrees. The inequivalent atoms are Sb at (0.000, 0.000, 0.000), Pd at (0.000, 0.000, 0.335), Pt at (0.000, 0.246, 0.500), Pt at (0.000, 0.251, 0.161) and Pt at (0.000, 0.500, 0.329).

---

| no. | formation energy from raw total energies (eV per atom) | final energy (eV per atom) |
| --- | --- | --- |
| 1 | 0.422 | -4.51 |
| 2 | 1.594 | -5.62 |
| 3 | -1.304 | -7.45 |
| 4 | -0.116 | -4.49 |
| 5 | 0.686 | -4.07 |
| 6 | 0.542 | -4.65 |
| 7 | -0.137 | -5.01 |
| 8 | -0.363 | -5.34 |
| 9 | -0.230 | -5.58 |
| 10 | -0.334 | -4.97 |
| 11 | 0.800 | -4.35 |
| 12 | -0.090 | -5.34 |
| 13 | -0.203 | -5.57 |
| 14 | -0.147 | -5.46 |
| 15 | -0.422 | -5.04 |
| 16 | -0.065 | -5.34 |
| 17 | -0.063 | -5.93 |
| 18 | -0.281 | -5.65 |
| 19 | -0.166 | -5.65 |
| 20 | -0.056 | -5.38 |
| 21 | 0.178 | -5.18 |
| 22 | -0.043 | -5.76 |